(1)
# MgAu3 GGA-PBEsol optimized geometry
# Crystal system: tetragonal
# E_form: -0.42 eV/atom
# Fermi-level density of states: 0.21 states/eV/atom
data_MgAu3
_space_group_name_H-M_alt 'I 4/m m m'
_space_group_IT_number 139
_space_group_name_Hall '-I 4 2'
_cell_length_a 4.0506
_cell_length_b 4.0506
_cell_length_c 16.4285
_cell_angle_alpha 90.00
_cell_angle_beta 90.00
_cell_angle_gamma 90.00
loop_
_atom_site_label
_atom_site_type_symbol
_atom_site_fract_x
_atom_site_fract_y
_atom_site_fract_z
Mg1 Mg 0.0000 0.0000 0.1274
Au1 Au 0.0000 0.0000 0.3770
Au2 Au 0.0000 0.5000 0.0000
Au3 Au 0.0000 0.5000 0.2500

(2)
# Mg3Au5 GGA-PBEsol optimized geometry
# Crystal system: orthorhombic
# E_form: -0.50 eV/atom
# Fermi-level density of states: 0.29 states/eV/atom
data_Mg3Au5
_space_group_name_H-M_alt 'C m m m'
_space_group_IT_number 65
_space_group_name_Hall '-C 2 2'
_cell_length_a 7.4857
_cell_length_b 8.3517
_cell_length_c 4.3708
_cell_angle_alpha 90.00
_cell_angle_beta 90.00
_cell_angle_gamma 90.00
loop_
_atom_site_label
_atom_site_type_symbol
_atom_site_fract_x
_atom_site_fract_y
_atom_site_fract_z
Mg1 Mg 0.0000 0.0000 0.0000
Mg2 Mg 0.0000 0.2820 0.5000
Au1 Au 0.0000 0.5000 0.0000
Au2 Au 0.2115 0.0000 0.5000
Au3 Au 0.2500 0.2500 0.0000

(3)
# Mg5Au GGA-PBEsol optimized geometry
# Crystal system: orthorhombic
# E_form: -0.18 eV/atom
# Fermi-level density of states: 0.36 states/eV/atom
data_Mg5Au
_space_group_name_H-M_alt 'A m m 2'
_space_group_IT_number 38
_cell_length_a 4.8389
_cell_length_b 3.2315
_cell_length_c 15.5311
_cell_angle_alpha 90.00
_cell_angle_beta 90.00
_cell_angle_gamma 90.00
loop_
_space_group_symop_operation_xyz
'x,y,z'
'-x,-y,z'
'-x,y,z'
'x,-y,z'
'x,y+1/2,z+1/2'
'-x,-y+1/2,z+1/2'
'-x,y+1/2,z+1/2'
'x,-y+1/2,z+1/2'
loop_
_atom_site_label
_atom_site_type_symbol
_atom_site_fract_x
_atom_site_fract_y
_atom_site_fract_z
Mg1 Mg 0.0000 0.0000 0.0000
Mg2 Mg 0.0000 0.0000 0.3080
Mg3 Mg 0.5000 0.0000 0.1121
Mg4 Mg 0.5000 0.0000 0.4366
Mg5 Mg 0.5000 0.0000 0.7696
Au1 Au 0.0000 0.0000 0.6565

(4)
# Mg2MnAu GGA-PBEsol optimized geometry
# Crystal system: cubic
# E_form: -0.09 eV/atom
# Fermi-level density of states: 0.23 states/eV/atom
data_Mg2MnAu
_space_group_name_H-M_alt 'F -4 3 m'
_space_group_IT_number 216
_space_group_name_Hall 'F -4 2 3'
_cell_length_a 6.4422
_cell_length_b 6.4422
_cell_length_c 6.4422
_cell_angle_alpha 90.00
_cell_angle_beta 90.00
_cell_angle_gamma 90.00
loop_
_atom_site_label
_atom_site_type_symbol
_atom_site_fract_x
_atom_site_fract_y
_atom_site_fract_z
Mg1 Mg 0.0000 0.0000 0.0000
Mg2 Mg 0.2500 0.2500 0.2500
Mn1 Mn 0.2500 0.2500 0.7500
Au1 Au 0.0000 0.0000 0.5000

(5)
# Mg2MnAu GGA-PBEsol optimized geometry
# Crystal system: tetragonal
# E_form: -0.06 eV/atom
# Fermi-level density of states: 0.58 states/eV/atom
data_Mg2MnAu
_space_group_name_H-M_alt 'P 4/m m m'
_space_group_IT_number 123
_space_group_name_Hall '-P 4 2'
_cell_length_a 3.3168
_cell_length_b 3.3168
_cell_length_c 6.1410
_cell_angle_alpha 90.00
_cell_angle_beta 90.00
_cell_angle_gamma 90.00
loop_
_atom_site_label
_atom_site_type_symbol
_atom_site_fract_x
_atom_site_fract_y
_atom_site_fract_z
Mg1 Mg 0.0000 0.0000 0.2488
Mn1 Mn 0.5000 0.5000 0.5000
Au1 Au 0.5000 0.5000 0.0000

(6)
# MgMn2Au GGA-PBEsol optimized geometry
# Crystal system: monoclinic
# E_form: 0.23 eV/atom
# Fermi-level density of states: 0.78 states/eV/atom
data_MgMn2Au
_space_group_name_H-M_alt 'C 1 m 1'
_space_group_IT_number 8
_cell_length_a 9.1989
_cell_length_b 2.8951
_cell_length_c 4.7641
_cell_angle_alpha 90.00
_cell_angle_beta 102.92
_cell_angle_gamma 90.00
loop_
_space_group_symop_operation_xyz
'x,y,z'
'x,-y,z'
'x+1/2,y+1/2,z'
'x+1/2,-y+1/2,z'
loop_
_atom_site_label
_atom_site_type_symbol
_atom_site_fract_x
_atom_site_fract_y
_atom_site_fract_z
Mg1 Mg 0.0000 0.0000 0.0000
Mn1 Mn 0.2417 0.0000 0.7322
Mn2 Mn 0.4988 0.0000 0.5070
Au1 Au 0.2525 0.5000 0.2476

(7)
# MgMn2Au GGA-PBEsol optimized geometry
# Crystal system: tetragonal
# E_form: 0.25 eV/atom
# Fermi-level density of states: 0.78 states/eV/atom
data_MgMn2Au
_space_group_name_H-M_alt 'P 4/m m m'
_space_group_IT_number 123
_space_group_name_Hall '-P 4 2'
_cell_length_a 3.2927
_cell_length_b 3.2927
_cell_length_c 5.8967
_cell_angle_alpha 90.00
_cell_angle_beta 90.00
_cell_angle_gamma 90.00
loop_
_atom_site_label
_atom_site_type_symbol
_atom_site_fract_x
_atom_site_fract_y
_atom_site_fract_z
Mg1 Mg 0.0000 0.0000 0.0000
Mn1 Mn 0.5000 0.5000 0.2578
Au1 Au 0.0000 0.0000 0.5000

(8)
# MgMn2Au GGA-PBEsol optimized geometry
# Crystal system: tetragonal
# E_form: 0.13 eV/atom
# Fermi-level density of states: 0.80 states/eV/atom
data_MgMn2Au
_space_group_name_H-M_alt 'P 4/m m m'
_space_group_IT_number 123
_space_group_name_Hall '-P 4 2'
_cell_length_a 3.9024
_cell_length_b 3.9024
_cell_length_c 3.9775
_cell_angle_alpha 90.00
_cell_angle_beta 90.00
_cell_angle_gamma 90.00
loop_
_atom_site_label
_atom_site_type_symbol
_atom_site_fract_x
_atom_site_fract_y
_atom_site_fract_z
Mg1 Mg 0.0000 0.0000 0.0000
Mn1 Mn 0.0000 0.5000 0.5000
Au1 Au 0.5000 0.5000 0.0000

(9)
# MgZrMnAu2 GGA-PBEsol optimized geometry
# Crystal system: tetragonal
# E_form: 0.36 eV/atom
# Fermi-level density of states: 0.80 states/eV/atom
data_MgZrMnAu2
_space_group_name_H-M_alt 'P 4/m m m'
_space_group_IT_number 123
_space_group_name_Hall '-P 4 2'
_cell_length_a 4.8944
_cell_length_b 4.8944
_cell_length_c 4.3877
_cell_angle_alpha 90.00
_cell_angle_beta 90.00
_cell_angle_gamma 90.00
loop_
_atom_site_label
_atom_site_type_symbol
_atom_site_fract_x
_atom_site_fract_y
_atom_site_fract_z
Mg1 Mg 0.0000 0.0000 0.0000
Zr1 Zr 0.5000 0.5000 0.0000
Mn1 Mn 0.5000 0.5000 0.5000
Au1 Au 0.0000 0.5000 0.5000

(10)
# MgMo2Au GGA-PBEsol optimized geometry
# Crystal system: tetragonal
# E_form: 0.32 eV/atom
# Fermi-level density of states: 0.60 states/eV/atom
data_MgMo2Au
_space_group_name_H-M_alt 'P 4/m m m'
_space_group_IT_number 123
_space_group_name_Hall '-P 4 2'
_cell_length_a 2.6869
_cell_length_b 2.6869
_cell_length_c 8.9703
_cell_angle_alpha 90.00
_cell_angle_beta 90.00
_cell_angle_gamma 90.00
loop_
_atom_site_label
_atom_site_type_symbol
_atom_site_fract_x
_atom_site_fract_y
_atom_site_fract_z
Mg1 Mg 0.0000 0.0000 0.0000
Mo1 Mo 0.5000 0.5000 0.2545
Au1 Au 0.0000 0.0000 0.5000

(11)
# Mg2MoAu GGA-PBEsol optimized geometry
# Relative energy among the computed polymorphs: 0.137 eV/atom
# Crystal system: cubic
# E_form: 0.25 eV/atom
# Fermi-level density of states: 0.62 states/eV/atom
data_Mg2MoAu
_space_group_name_H-M_alt 'F m -3 m'
_space_group_IT_number 225
_space_group_name_Hall '-F 4 2 3'
_cell_length_a 6.4652
_cell_length_b 6.4652
_cell_length_c 6.4652
_cell_angle_alpha 90.00
_cell_angle_beta 90.00
_cell_angle_gamma 90.00
loop_
_atom_site_label
_atom_site_type_symbol
_atom_site_fract_x
_atom_site_fract_y
_atom_site_fract_z
Mg1 Mg 0.2500 0.2500 0.2500
Mo1 Mo 0.0000 0.0000 0.0000
Au1 Au 0.0000 0.0000 0.5000

(12)
# MgMo2Au GGA-PBEsol optimized geometry
# Crystal system: orthorhombic
# E_form: 0.21 eV/atom
# Fermi-level density of states: 0.64 states/eV/atom
data_MgMo2Au
_space_group_name_H-M_alt 'I m m 2'
_space_group_IT_number 44
_cell_length_a 3.2860
_cell_length_b 4.6568
_cell_length_c 8.6124
_cell_angle_alpha 90.00
_cell_angle_beta 90.00
_cell_angle_gamma 90.00
loop_
_space_group_symop_operation_xyz
'x,y,z'
'-x,-y,z'
'-x,y,z'
'x,-y,z'
'x+1/2,y+1/2,z+1/2'
'-x+1/2,-y+1/2,z+1/2'
'-x+1/2,y+1/2,z+1/2'
'x+1/2,-y+1/2,z+1/2'
loop_
_atom_site_label
_atom_site_type_symbol
_atom_site_fract_x
_atom_site_fract_y
_atom_site_fract_z
Mg1 Mg 0.0000 0.0000 0.0000
Mo1 Mo 0.0000 0.0000 0.4792
Mo2 Mo 0.0000 0.5000 0.7706
Au1 Au 0.0000 0.5000 0.2488

(13)
# Mg2MoAu GGA-PBEsol optimized geometry
# Relative energy among the computed polymorphs: 0.078 eV/atom
# Crystal system: orthorhombic
# E_form: 0.19 eV/atom
# Fermi-level density of states: 0.85 states/eV/atom
data_Mg2MoAu
_space_group_name_H-M_alt 'I m m 2'
_space_group_IT_number 44
_cell_length_a 2.9096
_cell_length_b 4.7730
_cell_length_c 10.0084
_cell_angle_alpha 90.00
_cell_angle_beta 90.00
_cell_angle_gamma 90.00
loop_
_space_group_symop_operation_xyz
'x,y,z'
'-x,-y,z'
'-x,y,z'
'x,-y,z'
'x+1/2,y+1/2,z+1/2'
'-x+1/2,-y+1/2,z+1/2'
'-x+1/2,y+1/2,z+1/2'
'x+1/2,-y+1/2,z+1/2'
loop_
_atom_site_label
_atom_site_type_symbol
_atom_site_fract_x
_atom_site_fract_y
_atom_site_fract_z
Mg1 Mg 0.0000 0.0000 0.0000
Mg2 Mg 0.0000 0.5000 0.2234
Mo1 Mo 0.0000 0.5000 0.7552
Au1 Au 0.0000 0.0000 0.4908

(14)
# Mg2MoAu GGA-PBEsol optimized geometry
# Relative energy among the computed polymorphs: 0.000 eV/atom
# Crystal system: tetragonal
# E_form: 0.11 eV/atom
# Fermi-level density of states: 0.82 states/eV/atom
data_Mg2MoAu
_space_group_name_H-M_alt 'P 4/m m m'
_space_group_IT_number 123
_space_group_name_Hall '-P 4 2'
_cell_length_a 4.1237
_cell_length_b 4.1237
_cell_length_c 3.9549
_cell_angle_alpha 90.00
_cell_angle_beta 90.00
_cell_angle_gamma 90.00
loop_
_atom_site_label
_atom_site_type_symbol
_atom_site_fract_x
_atom_site_fract_y
_atom_site_fract_z
Mg1 Mg 0.0000 0.5000 0.0000
Mo1 Mo 0.0000 0.0000 0.5000
Au1 Au 0.5000 0.5000 0.5000